1.
## B2AsP (GGA-PBE)

Data for a geometry-optimized B2AsP structure.

abc: 5.652 5.652 5.652
angles: 90.00 90.00 90.00
Space group Fm-3m (No. 225)
Unique sites:
B  0.250  0.250  0.250
As  0.000  0.000  0.000
P  0.000  0.000  0.500

Values from the calculation:
Total magnetization ... 0.00 μB/cell

---

2.
## BAsP2 (GGA-PBE)

Data for a geometry-optimized BAsP2 structure.

abc: 3.351 4.338 4.856
angles: 74.45 78.38 76.05
Space group P1 (No. 1)
Unique sites:
B  0.000  0.000  0.000
As  0.068  0.392  0.619
P  0.582  0.751  0.984
P  0.718  0.274  0.291

Values from the calculation:
Total magnetization ... 0.00 μB/cell

---

3.
## BAsP2 (GGA-PBE)

Data for a geometry-optimized BAsP2 structure.

abc: 5.558 3.299 5.645
angles: 90.00 110.64 90.00
Space group Pm (No. 6)
Unique sites:
B  0.000  0.000  0.000
As  0.823  0.500  0.390
P  0.116  0.000  0.367
P  0.961  0.500  0.834

Values from the calculation:
Total magnetization ... 0.00 μB/cell

---

4.
## BAsP2 (GGA-PBE)

Data for a geometry-optimized BAsP2 structure.

abc: 9.340 2.973 6.761
angles: 90.00 129.94 90.00
Space group Cm (No. 8)
Unique sites:
B  0.000  0.000  0.000
As  0.348  0.500  0.586
P  0.176  0.000  0.942
P  0.485  0.000  0.162

Values from the calculation:
Total magnetization ... 0.00 μB/cell

---

no.,distance to the lowest polymorph of the same formula (eV/atom),total DFT energy (no corrections) (eV/atom),ΔE_f (kcal/mol of atoms)
1,1.7310,-4.34,35.0
2,0.1013,-5.37,3.9
3,0.0575,-5.41,2.9
4,0.2454,-5.22,7.3